PrMgAgHg | GGA-PBE | optimized geometry

Calculated values
uncorrected energy: -2.76 eV per atom
SG: F-43m, No. 216

a = 5.131 Å, b = 5.131 Å, c = 5.131 Å
α = 60.00°, β = 60.00°, γ = 60.00°
Fractional positions:
Pr (0.000, 0.000, 0.000)
Mg (0.500, 0.500, 0.500)
Ag (0.250, 0.250, 0.250)
Hg (0.750, 0.750, 0.750)

SrTbAgSe2S | GGA-PBE | optimized geometry

Calculated values
uncorrected energy: -4.92 eV per atom
SG: Cmcm, No. 63

a = 7.185 Å, b = 7.185 Å, c = 10.458 Å
α = 90.00°, β = 90.00°, γ = 146.25°
Fractional positions:
Sr (0.242, 0.758, 0.750)
Sr (0.758, 0.242, 0.250)
Tb (0.500, 0.500, 0.000)
Tb (0.500, 0.500, 0.500)
Ag (0.025, 0.975, 0.250)
Ag (0.975, 0.025, 0.750)
Se (0.144, 0.856, 0.054)
Se (0.144, 0.856, 0.446)
Se (0.856, 0.144, 0.554)
Se (0.856, 0.144, 0.946)
S (0.417, 0.583, 0.250)
S (0.583, 0.417, 0.750)

PrNbPO | GGA-PBE | optimized geometry

Calculated values
energy relative to the lowest polymorph listed for this composition: 0.0 meV per atom
SG: P4/nmm, No. 129

a = 4.031 Å, b = 4.031 Å, c = 9.100 Å
α = 90.00°, β = 90.00°, γ = 90.00°
Fractional positions:
Pr (0.250, 0.250, 0.133)
Pr (0.750, 0.750, 0.867)
Nb (0.250, 0.750, 0.500)
Nb (0.750, 0.250, 0.500)
P (0.250, 0.250, 0.677)
P (0.750, 0.750, 0.323)
O (0.250, 0.750, 0.000)
O (0.750, 0.250, 0.000)

ScCuTcB | GGA-PBE | optimized geometry

Calculated values
energy relative to the lowest polymorph listed for this composition: 244.9 meV per atom
SG: F-43m, No. 216

a = 4.251 Å, b = 4.251 Å, c = 4.251 Å
α = 60.00°, β = 60.00°, γ = 60.00°
Fractional positions:
Sc (0.000, 0.000, 0.000)
Cu (0.500, 0.500, 0.500)
Tc (0.750, 0.750, 0.750)
B (0.250, 0.250, 0.250)

FeTePd2 | GGA-PBE | optimized geometry

Calculated values
uncorrected energy: -5.47 eV per atom
SG: F-43m, No. 216

a = 4.536 Å, b = 4.536 Å, c = 4.536 Å
α = 60.00°, β = 60.00°, γ = 60.00°
Fractional positions:
Fe (0.000, 0.000, 0.000)
Te (0.750, 0.750, 0.750)
Pd (0.250, 0.250, 0.250)
Pd (0.500, 0.500, 0.500)

ZnFeSb | GGA-PBE | optimized geometry

Calculated values
energy relative to the lowest polymorph listed for this composition: 352.3 meV per atom
SG: P-62m, No. 189

a = 7.436 Å, b = 7.436 Å, c = 3.335 Å
α = 90.00°, β = 90.00°, γ = 120.00°
Fractional positions:
Zn (0.000, 0.000, 0.000)
Zn (0.333, 0.667, 0.500)
Zn (0.667, 0.333, 0.500)
Fe (0.000, 0.609, 0.000)
Fe (0.391, 0.391, 0.000)
Fe (0.609, 0.000, 0.000)
Sb (0.000, 0.297, 0.500)
Sb (0.297, 0.000, 0.500)
Sb (0.703, 0.703, 0.500)

NbNiAgPb | GGA-PBE | optimized geometry

Calculated values
uncorrected energy: -5.11 eV per atom
SG: F-43m, No. 216

a = 4.662 Å, b = 4.662 Å, c = 4.662 Å
α = 60.00°, β = 60.00°, γ = 60.00°
Fractional positions:
Nb (0.000, 0.000, 0.000)
Ni (0.500, 0.500, 0.500)
Ag (0.750, 0.750, 0.750)
Pb (0.250, 0.250, 0.250)

LaThCo | GGA-PBE | optimized geometry

Calculated values
formation energy: 0.63 eV per atom
SG: F-43m, No. 216

a = 4.798 Å, b = 4.798 Å, c = 4.798 Å
α = 60.00°, β = 60.00°, γ = 60.00°
Fractional positions:
La (0.000, 0.000, 0.000)
Th (0.250, 0.250, 0.250)
Co (0.500, 0.500, 0.500)

Number 1: V 23.9 Å³/atom. Number 2: V 25.0 Å³/atom. Number 3: V 18.5 Å³/atom. Number 4: V 13.6 Å³/atom. Number 5: V 16.5 Å³/atom. Number 6: V 17.7 Å³/atom. Number 7: V 17.9 Å³/atom. Number 8: V 26.0 Å³/atom.